Entry 1:
The following is a DFT calculation (GGA-PBE) of a relaxed BaGa3Pt crystal.

As for the total magnetic moment: 0.01 Bohr magnetons per cell. The polymorph energy (0 for the lowest one) comes out at 0.00 eV per formula unit.

It has space group I4mm (No. 107), with a = 4.553 Å, b = 4.553 Å, c = 10.790 Å, α = 90.00°, β = 90.00° and γ = 90.00°. The distinct sites, in fractional coordinates, are Ba at (0.000, 0.000, 0.000), Ga at (0.000, 0.000, 0.604), Ga at (0.000, 0.500, 0.250) and Pt at (0.000, 0.000, 0.365).

Entry 2:
The following is a DFT calculation (GGA-PBE) of a relaxed BaGaPt2 crystal.

As for the total magnetic moment: 0.01 Bohr magnetons per cell. The total energy comes out at -4.65 eV/atom.

It has space group P-6m2 (No. 187), with a = 4.5477 Å, b = 4.5477 Å, c = 5.6728 Å, α = 90.00°, β = 90.00° and γ = 120.00°. The distinct sites, in fractional coordinates, are Ba at (0.0000, 0.0000, 0.0000), Ga at (0.3333, 0.6667, 0.5000) and Pt at (0.6667, 0.3333, 0.2746).

Entry 3:
The following is a DFT calculation (GGA-PBE) of a relaxed BaGa6Pt4 crystal.

As for the total magnetic moment: 0.00 Bohr magnetons per cell. The total energy comes out at -4.72 eV/atom.

It has space group P-6m2 (No. 187), with a = 7.4632 Å, b = 7.4632 Å, c = 4.1786 Å, α = 90.00°, β = 90.00° and γ = 120.00°. The distinct sites, in fractional coordinates, are Ba at (0.0000, 0.0000, 0.0000), Ga at (0.2000, 0.4001, 0.5000), Ga at (0.5343, 0.0687, 0.0000), Pt at (0.3333, 0.6667, 0.0000) and Pt at (0.4127, 0.2064, 0.5000).

Entry 4:
The following is a DFT calculation (GGA-PBE) of a relaxed BaGaSiPt2 crystal.

As for the total magnetic moment: 0.02 Bohr magnetons per cell. The total energy comes out at -5.31 eV/atom.

It has space group P4/nmm (No. 129, origin choice 2), with a = 4.470 Å, b = 4.470 Å, c = 10.358 Å, α = 90.00°, β = 90.00° and γ = 90.00°. The distinct sites, in fractional coordinates, are Ba at (0.250, 0.250, 0.250), Ga at (0.250, 0.750, 0.000), Si at (0.250, 0.250, 0.614), Pt at (0.250, 0.250, 0.861) and Pt at (0.250, 0.750, 0.500).

Entry 5:
The following is a DFT calculation (GGA-PBE) of a relaxed Ba2GaSn3Pt2 crystal.

As for the total magnetic moment: 0.01 Bohr magnetons per cell. The total energy comes out at -4.61 eV/atom.

It has space group Cm (No. 8), with a = 12.714 Å, b = 4.433 Å, c = 7.692 Å, α = 90.00°, β = 90.34° and γ = 90.00°. The distinct sites, in fractional coordinates, are Ba at (0.000, 0.000, 0.000), Ba at (0.112, 0.000, 0.513), Ga at (0.381, 0.000, 0.710), Sn at (0.220, 0.500, 0.816), Sn at (0.225, 0.500, 0.215), Sn at (0.400, 0.000, 0.323), Pt at (0.279, 0.000, 0.012) and Pt at (0.345, 0.500, 0.525).

Entry 6:
The following is a DFT calculation (GGA-PBE) of a relaxed BaTmGa4Pt2 crystal.

As for the total magnetic moment: 0.01 Bohr magnetons per cell. The total energy comes out at -4.51 eV/atom.

It has space group Amm2 (No. 38), with a = 7.097 Å, b = 4.422 Å, c = 10.486 Å, α = 90.00°, β = 90.00° and γ = 90.00°. The distinct sites, in fractional coordinates, are Ba at (0.000, 0.000, 0.000), Tm at (0.500, 0.000, 0.838), Ga at (0.207, 0.000, 0.284), Ga at (0.317, 0.000, 0.563), Pt at (0.000, 0.000, 0.717) and Pt at (0.500, 0.000, 0.128).

Entry 7:
The following is a DFT calculation (GGA-PBE) of a relaxed BaZn2GaPt crystal.

As for the total magnetic moment: 0.00 Bohr magnetons per cell. The total energy comes out at -3.20 eV/atom.

It has space group I4mm (No. 107), with a = 4.564 Å, b = 4.564 Å, c = 10.559 Å, α = 90.00°, β = 90.00° and γ = 90.00°. The distinct sites, in fractional coordinates, are Ba at (0.000, 0.000, 0.000), Zn at (0.000, 0.500, 0.255), Ga at (0.000, 0.000, 0.623) and Pt at (0.000, 0.000, 0.382).

Entry 8:
The following is a DFT calculation (GGA-PBE) of a relaxed BaGaRe crystal.

As for the total magnetic moment: 0.00 Bohr magnetons per cell. The polymorph energy (0 for the lowest one) comes out at 0.00 eV per formula unit.

It has space group F-43m (No. 216), with a = 6.693 Å, b = 6.693 Å, c = 6.693 Å, α = 90.00°, β = 90.00° and γ = 90.00°. The distinct sites, in fractional coordinates, are Ba at (0.000, 0.000, 0.000), Ga at (0.000, 0.000, 0.500) and Re at (0.250, 0.250, 0.250).